Below is a relaxed Rb2Y2BiO6 crystal, with properties calculated at the GGA-PBE level.

Calculated values
Uncorrected formation energy ... -51.73 kcal/mol of atoms
Space group ... C2/m
Fermi-level density of states ... 3.698 states/eV per cell

Cell lengths 6.0501, 6.0501, 6.9975 Å; angles 98.08, 98.08, 119.96 degrees
Each line ends with the local moment (μB).
Element x y z (fractional)
Rb 0.1662 0.8338 0.0000  0.00
O 0.6115 0.9499 0.3303  0.09
O 0.2719 0.2719 0.3297  0.11
Y 0.3345 0.6655 0.5000  0.01
Rb 0.8338 0.1662 0.0000  0.00
Bi 0.0000 0.0000 0.5000  0.10
Y 0.6655 0.3345 0.5000  0.01
O 0.7281 0.7281 0.6703  0.11
O 0.0501 0.3885 0.6697  0.09
O 0.3885 0.0501 0.6697  0.09
O 0.9499 0.6115 0.3303  0.09

=====

Below is a relaxed RbZnBiO3 crystal, with properties calculated at the GGA-PBE level.

Calculated values
Uncorrected formation energy ... -30.49 kcal/mol of atoms
Space group ... P2_1/m
Fermi-level density of states ... 0.000 states/eV per cell

Cell lengths 3.5329, 8.5262, 8.0510 Å; angles 98.61, 90.00, 90.00 degrees
Element x y z (fractional)
Bi 0.2500 0.6171 0.1683
O 0.7500 0.4150 0.1000
Bi 0.7500 0.3829 0.8317
Rb 0.2500 0.1706 0.1925
Rb 0.7500 0.8294 0.8075
Zn 0.2500 0.1080 0.5895
Zn 0.7500 0.8920 0.4105
O 0.7500 0.1367 0.4758
O 0.2500 0.5850 0.9000
O 0.2500 0.8633 0.5242
O 0.7500 0.7957 0.1680
O 0.2500 0.2043 0.8320

=====

Below is a relaxed Rb2Zn2BiO6 crystal, with properties calculated at the GGA-PBE level.

Calculated values
Uncorrected formation energy ... -26.01 kcal/mol of atoms
Space group ... P-31m
Fermi-level density of states ... 8.501 states/eV per cell

Cell lengths 5.5683, 5.5683, 6.6404 Å; angles 90.00, 90.00, 120.00 degrees
Each line ends with the local moment (μB).
Element x y z (fractional)
O 0.0000 0.6662 0.1664  0.14
O 0.6662 0.0000 0.1664  0.14
O 0.3338 0.3338 0.1664  0.14
O 0.3338 0.0000 0.8336  0.14
Rb 0.6667 0.3333 0.4999  0.00
Zn 0.3333 0.6667 0.0001  0.06
Bi 0.0000 0.0000 0.0000  -0.02
Rb 0.3333 0.6667 0.5001  0.00
O 0.0000 0.3338 0.8336  0.14
O 0.6662 0.6662 0.8336  0.14
Zn 0.6667 0.3333 0.9999  0.06

=====

Below is a relaxed Rb3Zn2BiO6 crystal, with properties calculated at the GGA-PBE level.

Calculated values
Uncorrected formation energy ... -27.99 kcal/mol of atoms
Space group ... P-3m1
Fermi-level density of states ... 4.991 states/eV per cell

Cell lengths 6.1637, 6.1637, 7.3888 Å; angles 90.00, 90.00, 120.00 degrees
Element x y z (fractional)
Bi 0.0000 0.0000 0.5000
O 0.6845 0.8423 0.3141
O 0.8423 0.1577 0.6859
O 0.1577 0.3155 0.3141
O 0.1577 0.8423 0.3141
Rb 0.3333 0.6667 0.7585
Zn 0.6667 0.3333 0.6614
Zn 0.3333 0.6667 0.3386
Rb 0.0000 0.0000 0.0000
O 0.8423 0.6845 0.6859
O 0.3155 0.1577 0.6859
Rb 0.6667 0.3333 0.2415

=====

Below is a relaxed RbZn2Bi2O6 crystal, with properties calculated at the GGA-PBE level.

Calculated values
Uncorrected formation energy ... -26.50 kcal/mol of atoms
Space group ... P-1
Fermi-level density of states ... 4.656 states/eV per cell

Cell lengths 6.2801, 6.8863, 6.7999 Å; angles 120.77, 96.25, 53.14 degrees
Element x y z (fractional)
O 0.3131 0.7910 0.0353
Zn 0.9146 0.2298 0.2197
O 0.1767 0.8587 0.5966
O 0.0417 0.5537 0.8445
Bi 0.1903 0.6293 0.1830
O 0.9583 0.4463 0.1555
Rb 0.5000 0.0000 0.5000
O 0.8233 0.1413 0.4034
Zn 0.0854 0.7702 0.7803
O 0.6869 0.2090 0.9647
Bi 0.8097 0.3707 0.8170

=====

Below is a relaxed RbZnBiO4 crystal, with properties calculated at the GGA-PBE level.

Calculated values
Uncorrected formation energy ... -23.30 kcal/mol of atoms
Space group ... Imma
Fermi-level density of states ... 6.305 states/eV per cell

Cell lengths 6.7338, 7.0240, 6.8250 Å; angles 119.07, 90.00, 118.64 degrees
Element x y z (fractional)
Rb 0.1494 0.2988 0.8994
Bi 0.5000 0.0000 0.0000
O 0.7065 0.4131 0.2596
O 0.2935 0.5869 0.7404
O 0.7065 0.4131 0.6535
Zn 0.0000 0.5000 0.5000
Zn 0.5000 0.5000 0.5000
Bi 0.5000 0.0000 0.5000
O 0.7010 0.9867 0.7434
O 0.2935 0.5869 0.3465
Rb 0.8506 0.7012 0.1006
O 0.2858 0.9867 0.7434
O 0.7142 0.0133 0.2566
O 0.2990 0.0133 0.2566

=====

Below is a relaxed RbZn4Bi3O12 crystal, with properties calculated at the GGA-PBE level.

Calculated values
Uncorrected formation energy ... -24.24 kcal/mol of atoms
Space group ... R32
Fermi-level density of states ... 4.146 states/eV per cell

Cell lengths 7.2662, 7.2662, 7.2662 Å; angles 108.57, 108.57, 108.57 degrees
Element x y z (fractional)
O 0.7771 0.0820 0.6634
Zn 0.0595 0.5000 0.9405
O 0.1052 0.8948 0.5000
Zn 0.9405 0.0595 0.5000
Rb 0.0000 0.0000 0.0000
Bi 0.4469 0.0000 0.5531
O 0.6634 0.7771 0.0820
Zn 0.5000 0.5000 0.5000
Bi 0.5531 0.4469 0.0000
O 0.3366 0.9180 0.2229
O 0.6602 0.5000 0.3398
O 0.9180 0.2229 0.3366
O 0.5000 0.3398 0.6602
O 0.5000 0.1052 0.8948
Zn 0.5000 0.9405 0.0595
O 0.2229 0.3366 0.9180
O 0.8948 0.5000 0.1052
Bi 0.0000 0.5531 0.4469
O 0.0820 0.6634 0.7771
O 0.3398 0.6602 0.5000

=====

Below is a relaxed Rb2ZrBiO6 crystal, with properties calculated at the GGA-PBE level.

Calculated values
Uncorrected formation energy ... -39.38 kcal/mol of atoms
Space group ... Fm-3m
Fermi-level density of states ... 11.764 states/eV per cell

Cell lengths 6.0449, 6.0450, 8.5488 Å; angles 90.00, 90.00, 90.00 degrees
Each line ends with the local moment (μB).
Element x y z (fractional)
Bi 0.0000 0.7502 0.0000  -0.02
Rb 0.5000 0.7500 0.2500  0.00
Rb 0.5000 0.7500 0.7500  0.00
Rb 0.0000 0.2500 0.2500  0.00
Zr 0.0000 0.7498 0.5000  -0.04
O 0.7515 0.9982 0.5000  0.13
O 0.2515 0.0018 0.0000  0.13
O 0.0000 0.7500 0.7484  0.14
O 0.7485 0.0018 0.0000  0.13
O 0.7516 0.5013 0.5000  0.13
O 0.5000 0.2500 0.7516  0.14
O 0.2516 0.4987 0.0000  0.13
O 0.2485 0.9982 0.5000  0.13
Zr 0.5000 0.2502 0.0000  -0.04
O 0.5000 0.2500 0.2484  0.14
Bi 0.5000 0.2498 0.5000  -0.02
O 0.0000 0.7500 0.2516  0.14
O 0.2484 0.5013 0.5000  0.13
O 0.7484 0.4987 0.0000  0.13
Rb 0.0000 0.2500 0.7500  0.00

=====

Below is a relaxed Rb2ZrBi2O6 crystal, with properties calculated at the GGA-PBE level.

Calculated values
Uncorrected formation energy ... -40.33 kcal/mol of atoms
Space group ... C2/m
Fermi-level density of states ... 0.000 states/eV per cell

Cell lengths 6.3145, 5.8709, 7.4170 Å; angles 107.56, 90.00, 122.53 degrees
Element x y z (fractional)
Rb 0.6982 0.3965 0.1304
Bi 0.0893 0.1786 0.2567
Bi 0.9107 0.8214 0.7433
O 0.7836 0.0836 0.7211
O 0.2164 0.9164 0.2789
Zr 0.5000 0.0000 0.5000
O 0.3000 0.0836 0.7211
O 0.7000 0.9164 0.2789
Rb 0.3018 0.6035 0.8696
O 0.7158 0.4316 0.5095
O 0.2842 0.5684 0.4905

=====

Below is a relaxed RbZr2Bi2O7 crystal, with properties calculated at the GGA-PBE level.

Calculated values
Uncorrected formation energy ... -49.40 kcal/mol of atoms
Space group ... Cm
Fermi-level density of states ... 2.035 states/eV per cell

Cell lengths 4.0959, 6.3301, 9.5799 Å; angles 107.69, 102.34, 90.00 degrees
Element x y z (fractional)
Zr 0.3952 0.4765 0.7905
O 0.6065 0.9899 0.2129
Zr 0.6069 0.6799 0.2138
Bi 0.2647 0.7531 0.5294
O 0.7183 0.6192 0.4366
O 0.8730 0.3733 0.7461
O 0.5030 0.4624 0.0059
Rb 0.9999 0.0906 0.9998
O 0.3987 0.7843 0.7972
O 0.1323 0.6563 0.2645
O 0.2697 0.3851 0.5396
Bi 0.7318 0.2290 0.4636

=====

Below is a relaxed ReBi3O crystal, with properties calculated at the GGA-PBE level.

Calculated values
Uncorrected formation energy ... 13.61 kcal/mol of atoms
Space group ... Pm-3m
Fermi-level density of states ... 4.358 states/eV per cell
Relative energy among the computed polymorphs ... 0 meV/atom

Cell lengths 4.8342, 4.8342, 4.8342 Å; angles 90.00, 90.00, 90.00 degrees
Each line ends with the local moment (μB).
Element x y z (fractional)
Bi 0.0000 0.0000 0.5000  -0.06
Bi 0.0000 0.5000 0.0000  -0.10
O 0.0000 0.0000 0.0000  -0.03
Bi 0.5000 0.0000 0.0000  -0.08
Re 0.5000 0.5000 0.5000  2.13

=====

Below is a relaxed ReBi2O6 crystal, with properties calculated at the GGA-PBE level.

Calculated values
Uncorrected formation energy ... -31.14 kcal/mol of atoms
Space group ... P2_1/c
Fermi-level density of states ... 2.413 states/eV per cell
Relative energy among the computed polymorphs ... 53 meV/atom

Cell lengths 5.7067, 5.9616, 8.7975 Å; angles 90.00, 92.12, 90.00 degrees
Each line ends with the local moment (μB).
Element x y z (fractional)
O 0.1222 0.2067 0.3613  -0.01
O 0.3438 0.6619 0.8289  0.01
O 0.3778 0.7067 0.1387  -0.01
O 0.8778 0.7933 0.6387  -0.01
O 0.8035 0.6611 0.9899  0.04
Bi 0.5022 0.9760 0.7070  0.06
Re 0.0000 0.0000 0.5000  0.76
Bi 0.4978 0.0240 0.2930  0.06
Bi 0.0022 0.5240 0.2070  0.06
O 0.8438 0.8381 0.3289  0.01
O 0.6562 0.3381 0.1711  0.01
O 0.1965 0.3389 0.0101  0.04
Re 0.5000 0.5000 0.0000  0.76
O 0.6222 0.2933 0.8613  -0.01
O 0.3035 0.8389 0.4899  0.04
O 0.6965 0.1611 0.5101  0.04
Bi 0.9978 0.4760 0.7930  0.06
O 0.1562 0.1619 0.6711  0.01

=====

Below is a relaxed ReBiO4 crystal, with properties calculated at the GGA-PBE level.

Calculated values
Uncorrected formation energy ... -33.47 kcal/mol of atoms
Space group ... Cmcm
Fermi-level density of states ... 5.124 states/eV per cell
Relative energy among the computed polymorphs ... 0 meV/atom

Cell lengths 7.9075, 7.9075, 5.5943 Å; angles 90.00, 90.00, 151.67 degrees
Each line ends with the local moment (μB).
Element x y z (fractional)
O 0.1856 0.8144 0.5169  0.00
Re 0.0823 0.9177 0.7500  0.09
O 0.4108 0.5892 0.2500  0.00
O 0.0000 0.0000 0.5000  0.01
Bi 0.3086 0.6914 0.7500  0.01
O 0.5892 0.4108 0.7500  0.00
O 0.1856 0.8144 0.9831  0.00
O 0.8144 0.1856 0.0169  0.00
Bi 0.6914 0.3086 0.2500  0.01
O 0.8144 0.1856 0.4831  0.00
Re 0.9177 0.0823 0.2500  0.09
O 0.0000 0.0000 0.0000  0.01

=====

Below is a relaxed ReBi2O8 crystal, with properties calculated at the GGA-PBE level.

Calculated values
Uncorrected formation energy ... -22.55 kcal/mol of atoms
Space group ... Cm
Fermi-level density of states ... 1.823 states/eV per cell
Relative energy among the computed polymorphs ... 0 meV/atom

Cell lengths 4.0913, 6.4682, 6.4682 Å; angles 112.68, 89.65, 89.65 degrees
Element x y z (fractional)
Bi 0.4933 0.6499 0.2842
O 0.3249 0.4601 0.4601
O 0.5209 0.6561 0.9092
O 0.9956 0.6660 0.2117
O 0.9956 0.2117 0.6660
O 0.0221 0.9601 0.9600
Re 0.5997 0.9619 0.9619
O 0.5167 0.0116 0.2632
O 0.5209 0.9092 0.6561
Bi 0.4933 0.2842 0.6499
O 0.5167 0.2632 0.0116

=====

Below is a relaxed Re2BiO6 crystal, with properties calculated at the GGA-PBE level.

Calculated values
Uncorrected formation energy ... -33.27 kcal/mol of atoms
Space group ... C2/c
Fermi-level density of states ... 2.638 states/eV per cell

Cell lengths 8.5177, 8.5177, 5.6129 Å; angles 88.28, 88.28, 33.96 degrees
Element x y z (fractional)
Re 0.0535 0.5834 0.8903
O 0.8829 0.8393 0.6197
O 0.8393 0.8829 0.1197
O 0.3007 0.2670 0.6672
O 0.1171 0.1607 0.3803
Bi 0.7244 0.2756 0.7500
O 0.6682 0.4736 0.0816
Re 0.9465 0.4166 0.1097
O 0.2670 0.3007 0.1672
O 0.5264 0.3318 0.4184
O 0.1607 0.1171 0.8803
O 0.4736 0.6682 0.5816
Bi 0.2756 0.7244 0.2500
O 0.7330 0.6993 0.8328
O 0.3318 0.5264 0.9184
O 0.6993 0.7330 0.3328
Re 0.4166 0.9465 0.6097
Re 0.5834 0.0535 0.3903

=====

Below is a relaxed ReBi3O crystal, with properties calculated at the GGA-PBE level.

Calculated values
Uncorrected formation energy ... 22.72 kcal/mol of atoms
Space group ... Pm-3m
Fermi-level density of states ... 5.920 states/eV per cell
Relative energy among the computed polymorphs ... 395 meV/atom

Cell lengths 5.2675, 5.2675, 5.2675 Å; angles 90.00, 90.00, 90.00 degrees
Element x y z (fractional)
Re 0.0000 0.0000 0.0000
Bi 0.0000 0.5000 0.0000
Bi 0.5000 0.0000 0.0000
O 0.5000 0.5000 0.5000
Bi 0.0000 0.0000 0.5000

=====

Below is a relaxed Re4BiO12 crystal, with properties calculated at the GGA-PBE level.

Calculated values
Uncorrected formation energy ... -24.71 kcal/mol of atoms
Space group ... P1
Fermi-level density of states ... 2.546 states/eV per cell
Relative energy among the computed polymorphs ... 368 meV/atom

Cell lengths 4.5919, 6.0297, 11.2467 Å; angles 89.75, 89.81, 105.43 degrees
Element x y z (fractional)
O 0.1990 0.9584 0.7661
Re 0.3412 0.0228 0.2946
O 0.6897 0.0955 0.1989
O 0.6691 0.6381 0.2389
O 0.2599 0.2604 0.3734
Bi 0.5971 0.5658 0.4670
O 0.3267 0.6666 0.6171
Re 0.8737 0.9885 0.8526
O 0.2760 0.7581 0.3812
O 0.6194 0.7481 0.9135
O 0.8355 0.2608 0.8801
O 0.8374 0.9337 0.5543
Re 0.9578 0.9125 0.1563
O 0.5509 0.2511 0.6121
O 0.1438 0.0091 0.0160
O 0.9161 0.5857 0.1678
Re 0.5375 0.9648 0.6530

=====

Below is a relaxed ReBiO5 crystal, with properties calculated at the GGA-PBE level.

Calculated values
Uncorrected formation energy ... -34.41 kcal/mol of atoms
Space group ... P2_1/c
Fermi-level density of states ... 0.000 states/eV per cell
Relative energy among the computed polymorphs ... 0 meV/atom

Cell lengths 4.4832, 8.8913, 13.5411 Å; angles 90.00, 90.00, 94.63 degrees
Element x y z (fractional)
O 0.1900 0.2161 0.3919
O 0.2376 0.9218 0.9781
O 0.2710 0.4563 0.1360
Bi 0.2269 0.3595 0.5448
O 0.2624 0.5782 0.4781
O 0.6900 0.7161 0.1081
O 0.2260 0.7195 0.2527
O 0.8100 0.7839 0.6081
Re 0.0291 0.8933 0.6955
O 0.7710 0.9563 0.3640
O 0.1964 0.0369 0.2101
O 0.7290 0.5437 0.8640
Re 0.9709 0.1067 0.3045
Bi 0.7731 0.6405 0.4552
O 0.8036 0.9631 0.7899
O 0.7624 0.0782 0.0219
O 0.3100 0.2839 0.8919
O 0.2740 0.7805 0.7527
O 0.2290 0.0437 0.6360
O 0.3036 0.4631 0.7101
O 0.6964 0.5369 0.2899
Re 0.4709 0.6067 0.1955
O 0.7740 0.2805 0.7473
O 0.7376 0.4218 0.5219
Bi 0.7269 0.8595 0.9552
Bi 0.2731 0.1405 0.0448
O 0.7260 0.2195 0.2473
Re 0.5291 0.3933 0.8045

=====

Below is a relaxed Re4BiO12 crystal, with properties calculated at the GGA-PBE level.

Calculated values
Uncorrected formation energy ... -33.20 kcal/mol of atoms
Space group ... I4/mmm
Fermi-level density of states ... 8.345 states/eV per cell
Relative energy among the computed polymorphs ... 0 meV/atom

Cell lengths 6.6565, 6.6565, 6.6565 Å; angles 108.87, 110.69, 108.85 degrees
Element x y z (fractional)
O 0.7806 0.7456 0.5262
O 0.4646 0.7457 0.7188
O 0.2705 0.0416 0.7711
O 0.2705 0.4994 0.2289
Re 0.0000 0.0000 0.5000
Re 0.5000 0.5000 0.5000
O 0.9731 0.2543 0.7188
O 0.5354 0.2543 0.2812
O 0.7295 0.9584 0.2289
O 0.0269 0.7457 0.2812
O 0.7806 0.2544 0.0350
Re 0.0000 0.5000 0.0000
O 0.2194 0.2544 0.4738
O 0.2194 0.7456 0.9650
Bi 0.0000 0.5000 0.5000
O 0.7295 0.5006 0.7711
Re 0.5000 0.0000 0.0000